Entry 1:
{"formula": "Sb2Rh", "functional": "PBE", "state": "relaxed", "lattice": [[6.5417, 0.0000, 0.0000], [0.0000, 6.5417, 0.0000], [0.0000, 0.0000, 5.9651]], "species": ["Sb", "Sb", "Sb", "Sb", "Sb", "Sb", "Sb", "Sb", "Rh", "Rh", "Rh", "Rh"], "fractional_positions": [[0.1655, 0.3345, 0.0000], [0.1655, 0.6655, 0.5000], [0.3345, 0.1655, 0.5000], [0.3345, 0.8345, 0.0000], [0.6655, 0.1655, 0.0000], [0.6655, 0.8345, 0.5000], [0.8345, 0.3345, 0.5000], [0.8345, 0.6655, 0.0000], [0.0000, 0.0000, 0.2500], [0.0000, 0.0000, 0.7500], [0.5000, 0.5000, 0.2500], [0.5000, 0.5000, 0.7500]], "dos_at_fermi_per_ev_fu": 2.2, "formation_energy_uncorrected_mev_per_atom": -197}

Entry 2:
{"formula": "CaBe2AlO", "functional": "PBE", "state": "relaxed", "lattice": [[5.3268, 0.0000, 0.0000], [0.0000, 5.3268, 0.0000], [0.0000, 0.0000, 4.1098]], "species": ["Ca", "Be", "Be", "Al", "O"], "fractional_positions": [[0.0000, 0.0000, 0.0000], [0.0000, 0.5000, 0.0000], [0.5000, 0.0000, 0.0000], [0.5000, 0.5000, 0.5000], [0.0000, 0.0000, 0.5000]], "dos_at_fermi_per_ev_fu": 2.4, "formation_energy_uncorrected_mev_per_atom": 872}

Entry 3:
{"formula": "LiPbAu2", "functional": "PBE", "state": "relaxed", "lattice": [[3.0487, 0.0000, 0.0000], [0.0000, 4.7911, 0.0000], [0.0000, 0.0000, 11.4145]], "species": ["Li", "Li", "Pb", "Pb", "Au", "Au", "Au", "Au"], "fractional_positions": [[0.0000, 0.0000, 0.0000], [0.5000, 0.5000, 0.5000], [0.0000, 0.0000, 0.5000], [0.5000, 0.5000, 0.0000], [0.0000, 0.0000, 0.2370], [0.0000, 0.0000, 0.7630], [0.5000, 0.5000, 0.2630], [0.5000, 0.5000, 0.7370]], "dos_at_fermi_per_ev_fu": 1.3, "delta_e_f_ev_per_fu": -0.157}

What did the second record say?
{"formula": "CaBe2AlO", "functional": "PBE", "state": "relaxed", "lattice": [[5.3268, 0.0000, 0.0000], [0.0000, 5.3268, 0.0000], [0.0000, 0.0000, 4.1098]], "species": ["Ca", "Be", "Be", "Al", "O"], "fractional_positions": [[0.0000, 0.0000, 0.0000], [0.0000, 0.5000, 0.0000], [0.5000, 0.0000, 0.0000], [0.5000, 0.5000, 0.5000], [0.0000, 0.0000, 0.5000]], "dos_at_fermi_per_ev_fu": 2.4, "formation_energy_uncorrected_mev_per_atom": 872}